Sm2SbTe after structural relaxation, computed with PBE-GGA.

Lattice parameters (Å, degrees): 4.4577 6.2941 8.9322 90.00 90.00 90.00
Last column: nearest neighbours and their distance in Å.
Atoms (fractional coordinates):
Sb1 0.5000 0.0000 0.1253  6 Sm 3.09-3.15
Sb2 0.0000 0.5000 0.8747  6 Sm 3.09-3.15
Sm1 0.5000 0.5000 0.6353  2 Sb 3.09, 4 Te 3.15-3.20
Sm2 0.0000 0.0000 0.3647  2 Sb 3.09, 4 Te 3.15-3.20
Sm3 0.0000 0.0000 0.8818  4 Sb 3.11-3.15, 2 Te 3.21
Sm4 0.5000 0.5000 0.1182  4 Sb 3.11-3.15, 2 Te 3.21
Te1 0.0000 0.5000 0.3775  6 Sm 3.15-3.21
Te2 0.5000 0.0000 0.6225  6 Sm 3.15-3.21

Output
- Crystal system: orthorhombic
- Total magnetization: 0.0 Bohr magnetons per cell
- Electronic total energy: -43.99 eV/cell



Sm6SbTe5 after structural relaxation, computed with PBE-GGA.

Lattice parameters (Å, degrees): 7.6919 7.6919 7.7172 99.55 99.55 120.01
Last column: nearest neighbours and their distance in Å.
Atoms (fractional coordinates):
Sm1 0.0815 0.4077 0.2447  1 Sb 3.08, 5 Te 3.14-3.19
Sm2 0.7561 0.7561 0.2464  1 Sb 3.08, 5 Te 3.15-3.20
Sm3 0.2439 0.2439 0.7536  1 Sb 3.08, 5 Te 3.15-3.20
Sm4 0.9185 0.5923 0.7553  1 Sb 3.08, 5 Te 3.14-3.19
Sm5 0.4077 0.0815 0.2447  1 Sb 3.08, 5 Te 3.14-3.19
Sm6 0.5923 0.9185 0.7553  1 Sb 3.08, 5 Te 3.14-3.19
Te1 0.1690 0.8310 0.5000  6 Sm 3.14-3.19
Te2 0.6663 0.3337 0.0000  6 Sm 3.14-3.15
Te3 0.3337 0.6663 0.0000  6 Sm 3.14-3.15
Te4 0.8310 0.1690 0.5000  6 Sm 3.14-3.19
Te5 0.5000 0.5000 0.5000  6 Sm 3.15-3.20
Sb1 0.0000 0.0000 0.0000  6 Sm 3.08

Output
- Crystal system: monoclinic
- Total magnetization: 0.0 Bohr magnetons per cell
- Electronic total energy: -64.58 eV/cell



SmSbTe after structural relaxation, computed with PBE-GGA.

Lattice parameters (Å, degrees): 5.2676 5.2676 5.2676 60.00 60.00 60.00
Last column: nearest neighbours and their distance in Å.
Atoms (fractional coordinates):
Te1 0.7500 0.7500 0.7500  4 Sm 3.23
Sm1 0.0000 0.0000 0.0000  4 Sb 3.23, 4 Te 3.23
Sb1 0.2500 0.2500 0.2500  4 Sm 3.23

Output
- Crystal system: cubic
- Total magnetization: 0.0 Bohr magnetons per cell
- Electronic total energy: -13.77 eV/cell



Sm6Sb5Te after structural relaxation, computed with PBE-GGA.

Lattice parameters (Å, degrees): 7.7318 7.7318 7.7334 99.59 99.59 119.97
Last column: nearest neighbours and their distance in Å.
Atoms (fractional coordinates):
Sm1 0.0845 0.4224 0.2530  5 Sb 3.13-3.16, 1 Te 3.20
Sm2 0.7461 0.7461 0.2523  5 Sb 3.12-3.16, 1 Te 3.20
Sm3 0.5776 0.9155 0.7470  5 Sb 3.13-3.16, 1 Te 3.20
Sm4 0.2539 0.2539 0.7477  5 Sb 3.12-3.16, 1 Te 3.20
Sm5 0.4224 0.0845 0.2530  5 Sb 3.13-3.16, 1 Te 3.20
Sm6 0.9155 0.5776 0.7470  5 Sb 3.13-3.16, 1 Te 3.20
Sb1 0.5000 0.5000 0.5000  6 Sm 3.12-3.16
Sb2 0.3329 0.6671 0.0000  6 Sm 3.15-3.16
Sb3 0.6671 0.3329 0.0000  6 Sm 3.15-3.16
Sb4 0.8350 0.1650 0.5000  6 Sm 3.13-3.16
Sb5 0.1650 0.8350 0.5000  6 Sm 3.13-3.16
Te1 0.0000 0.0000 0.0000  6 Sm 3.20

Output
- Crystal system: monoclinic
- Total magnetization: 0.0 Bohr magnetons per cell
- Electronic total energy: -67.01 eV/cell



Q: The lowest electronic total energy belongs to which entry?
A: Sm6Sb5Te